# 1
Crystalline TeIrN at its relaxed geometry, computed with GGA-PBE.

## Properties
Its crystal system is monoclinic. As for the raw total energy: -35.49 eV per cell. For the uncorrected formation energy, the calculation gives 0.861 eV/atom. The density of states at the Fermi level is 2.61 states/eV/f.u. Its symmetry is No. 12.

Cell lengths 4.3686, 4.3686, 5.2371 Å; angles 93.81, 93.81, 78.93 degrees
Fractional coordinates of all 6 atoms:
1 Te 0.1605 0.1605 0.2836
2 Te 0.8395 0.8395 0.7164
3 Ir 0.4209 0.4209 0.7336
4 Ir 0.5791 0.5791 0.2664
5 N 0.1794 0.1794 0.8957
6 N 0.8206 0.8206 0.1043



# 2
Crystalline TeIrN3 at its relaxed geometry, computed with GGA-PBE.

## Properties
Its crystal system is cubic. As for the raw total energy: -25.42 eV per cell. For the uncorrected formation energy, the calculation gives 2.311 eV/atom. The density of states at the Fermi level is 4.85 states/eV/f.u. Its symmetry is No. 221.

Cell lengths 3.9254, 3.9254, 3.9254 Å; angles 90.00, 90.00, 90.00 degrees
Fractional coordinates of all 5 atoms:
1 Te 0.0000 0.0000 0.0000
2 Ir 0.5000 0.5000 0.5000
3 N 0.0000 0.0000 0.5000
4 N 0.0000 0.5000 0.0000
5 N 0.5000 0.0000 0.0000



# 3
Crystalline TeIrN3 at its relaxed geometry, computed with GGA-PBE.

## Properties
Its crystal system is cubic. As for the raw total energy: -29.78 eV per cell. For the uncorrected formation energy, the calculation gives 1.440 eV/atom. The density of states at the Fermi level is 3.90 states/eV/f.u. Its symmetry is No. 221.

Cell lengths 3.9339, 3.9339, 3.9339 Å; angles 90.00, 90.00, 90.00 degrees
Fractional coordinates of all 5 atoms:
1 Te 0.0000 0.0000 0.0000
2 Ir 0.5000 0.5000 0.5000
3 N 0.0000 0.5000 0.5000
4 N 0.5000 0.0000 0.5000
5 N 0.5000 0.5000 0.0000



Copy entry 3 word for word.
Crystalline TeIrN3 at its relaxed geometry, computed with GGA-PBE.

## Properties
Its crystal system is cubic. As for the raw total energy: -29.78 eV per cell. For the uncorrected formation energy, the calculation gives 1.440 eV/atom. The density of states at the Fermi level is 3.90 states/eV/f.u. Its symmetry is No. 221.

Cell lengths 3.9339, 3.9339, 3.9339 Å; angles 90.00, 90.00, 90.00 degrees
Fractional coordinates of all 5 atoms:
1 Te 0.0000 0.0000 0.0000
2 Ir 0.5000 0.5000 0.5000
3 N 0.0000 0.5000 0.5000
4 N 0.5000 0.0000 0.5000
5 N 0.5000 0.5000 0.0000



raw total energy of number 3 (TeIrN3)? -29.78 eV per cell